Entry 1:
DFT (PBE-GGA) results for crystalline DyAl12Ni4 at its relaxed geometry.

```
DyAl12Ni4
1.0
7.460 0.000 0.000
-2.487 7.033 0.000
-2.487 -3.517 6.091
Dy Al Ni
1 12 4
direct
0.000 0.000 0.000 Dy
0.799 0.327 0.126 Al
0.327 0.527 0.201 Al
0.874 0.201 0.673 Al
0.327 0.126 0.799 Al
0.126 0.799 0.327 Al
0.673 0.473 0.799 Al
0.527 0.201 0.327 Al
0.473 0.799 0.673 Al
0.673 0.874 0.201 Al
0.799 0.673 0.473 Al
0.201 0.327 0.527 Al
0.201 0.673 0.874 Al
0.000 0.500 0.000 Ni
0.500 0.000 0.000 Ni
0.500 0.500 0.500 Ni
0.000 0.000 0.500 Ni
```

Results
density of states at the Fermi level	10.32	states/eV per cell
theoretical density	3.75	g/cm3
calculated volume	18.80	Å³/atom
SG	Im-3, No. 204
DFT formation energy	-9.72	kJ per mole of atoms



Entry 2:
DFT (PBE-GGA) results for crystalline GdLuTiIn at its relaxed geometry.

```
GdLuTiIn
1.0
-3.060 -3.672 2.103
2.056 -3.621 3.152
-1.049 0.090 5.115
Gd Lu Ti In
1 1 1 1
direct
0.000 0.000 0.000 Gd
0.500 0.500 0.500 Lu
0.250 0.250 0.250 Ti
0.750 0.750 0.750 In
```

Results
density of states at the Fermi level	4.46	states/eV per cell
theoretical density	8.16	g/cm3
calculated volume	25.17	Å³/atom
SG	F-43m, No. 216
DFT formation energy	-6.87	kJ per mole of atoms



Q: What is the DFT formation energy in the first record?
A: -9.72 kJ per mole of atoms